*a*
12
Lattice="4.4093 -7.1071 0.0000 4.4093 7.1071 0.0000 -2.1267 0.0000 5.9886" Properties=species:S:1:pos:R:3 comment="SmY4Cd | Alexandria via LeMat-Bulk | PBE-GGA | relaxed" sg="No. 15" pbc="T T T"
Sm 2.8142 5.7615 4.4914
Sm 3.8776 -5.7615 1.4971
Y 0.0582 1.6479 5.2206
Y 2.5698 2.6937 2.7191
Y 1.1216 -1.6479 2.2263
Y 5.1854 2.6937 0.2752
Y 1.5065 -2.6937 5.7134
Y 5.5703 1.6479 3.7623
Y 4.1220 -2.6937 3.2695
Y 6.6336 -1.6479 0.7680
Cd 3.8776 -0.0010 1.4971
Cd 2.8142 0.0010 4.4914

*b*
6
Lattice="3.6083 0.0000 0.0000 0.0000 3.6083 0.0000 0.0000 0.0000 14.1811" Properties=species:S:1:pos:R:3 comment="SmY4Cd | Alexandria via LeMat-Bulk | PBE-GGA | relaxed" sg="No. 123" pbc="T T T"
Sm 0.0000 0.0000 0.0000
Y 0.0000 0.0000 5.0533
Y 0.0000 0.0000 9.1278
Y 1.8041 1.8041 2.5212
Y 1.8041 1.8041 11.6599
Cd 1.8041 1.8041 7.0906

Which structure is the least stable? The one labeled *a*.